Record 1
The following is a PBE calculation of a relaxed structure of Cs2HgB, from Alexandria.

Structure (POSCAR):
```
Cs2HgB
1.0
6.2069 0.0000 0.0000
3.1035 5.3754 0.0000
3.1035 1.7918 5.0679
Cs B Hg
2 1 1
Cartesian
3.1035 1.7918 1.2670 Cs
9.3104 5.3754 3.8009 Cs
0.0000 0.0000 0.0000 B
6.2069 3.5836 2.5340 Hg
```

* energy of formation: 0.869 eV per atom
* relative energy among the computed polymorphs: 436 meV/atom
* density: 4.69 g cm⁻³

Record 2
The following is a PBE calculation of a relaxed structure of Cs2HgBI6, from Alexandria.

Structure (POSCAR):
```
Cs2HgBI6
1.0
8.1812 0.0000 0.0000
0.0000 8.1812 0.0000
4.0906 4.0906 5.7921
Cs I B Hg
2 6 1 1
Cartesian
8.1812 4.0906 2.8961 Cs
4.0906 8.1812 2.8961 Cs
4.0906 4.0906 2.6104 I
8.1812 8.1812 3.1817 I
2.2005 2.2005 0.0000 I
5.9808 5.9808 0.0000 I
5.9808 2.2005 0.0000 I
2.2005 5.9808 0.0000 I
4.0906 4.0906 0.0000 B
0.0000 0.0000 0.0000 Hg
```

* calculated total energy: -2.21 eV per atom
* density: 5.31 g cm⁻³

Record 3
The following is a PBE calculation of a relaxed structure of CsHgB2Mo, from Alexandria.

Structure (POSCAR):
```
CsHgB2Mo
1.0
4.9301 0.0000 0.0000
0.0000 5.6230 0.0000
0.0000 0.0000 4.9301
Cs Mo B Hg
1 1 2 1
Cartesian
0.0000 0.0000 0.0000 Cs
0.0000 2.8115 0.0000 Mo
0.0000 0.0000 2.4651 B
2.4651 0.0000 0.0000 B
2.4651 2.8115 2.4651 Hg
```

* energy of formation: 3.195 eV per atom
* density: 5.48 g cm⁻³

Record 4
The following is a PBE calculation of a relaxed structure of Cs2HgBO4, from Alexandria.

Structure (POSCAR):
```
Cs2HgBO4
1.0
6.0570 0.0031 -0.0035
0.0016 6.0581 -0.0031
-3.0271 -3.0287 3.9320
Cs Hg B O
2 1 1 4
Cartesian
0.0032 3.0312 3.8172 Cs
0.0012 0.0011 1.8547 Cs
3.0308 0.0037 3.8184 Hg
3.0303 3.0314 1.8498 B
2.4477 1.9101 2.6536 O
4.1510 2.4483 1.0451 O
1.9094 3.6143 1.0448 O
3.6113 -1.9056 2.6563 O
```

* calculated total energy: -4.82 eV per atom
* density: 6.23 g cm⁻³

Record 5
The following is a PBE calculation of a relaxed structure of CsHg2B2O6, from Alexandria.

Structure (POSCAR):
```
CsHg2B2O6
1.0
6.0253 -0.3287 0.1088
2.6931 6.4498 0.8565
0.2235 -2.7638 4.9706
Cs Hg B O
1 2 2 6
Cartesian
3.1244 -1.5462 2.5397 Cs
6.1627 0.3978 4.4542 Hg
2.7792 2.9596 1.4818 Hg
3.4712 2.0181 4.3974 B
5.4706 1.3393 1.5385 B
4.4522 1.9755 5.3622 O
6.4364 2.3629 1.4687 O
3.4731 3.0137 3.4614 O
2.5055 0.9945 4.4672 O
5.4687 0.3437 2.4745 O
4.4897 1.3819 0.5738 O
```

* calculated total energy: -5.44 eV per atom
* density: 5.13 g cm⁻³

Record 6
The following is a PBE calculation of a relaxed structure of Cs2HgBS4, from Alexandria.

Structure (POSCAR):
```
Cs2HgBS4
1.0
6.2936 0.0000 0.0000
3.1468 6.8747 0.0000
3.1468 0.0000 11.9466
Cs Hg B S
4 2 2 8
Cartesian
3.1468 0.0000 7.7088 Cs
6.2936 0.0000 4.2379 Cs
7.8670 3.4374 10.2112 Cs
7.8670 3.4374 1.7355 Cs
7.8670 3.4374 5.9733 Hg
0.0000 0.0000 0.0000 Hg
4.7202 3.4374 5.9733 B
3.1468 0.0000 0.0000 B
5.1408 5.7656 1.1117 S
5.1408 1.1091 10.8349 S
10.5931 5.7656 10.8349 S
4.2995 1.1091 1.1117 S
5.8729 4.5465 4.8616 S
5.8729 2.3282 7.0851 S
9.8610 4.5465 7.0851 S
3.5675 2.3282 4.8616 S
```

* calculated total energy: -3.72 eV per atom
* density: 3.89 g cm⁻³

Record 7
The following is a PBE calculation of a relaxed structure of Cs3HgB2S6, from Alexandria.

Structure (POSCAR):
```
Cs3HgB2S6
1.0
-3.3633 4.7353 3.8650
-2.7427 -6.3512 -0.9021
4.5712 -3.0739 7.7439
Cs Hg B S
3 1 2 6
Cartesian
0.0535 -4.6751 5.7744 Cs
-1.5883 -0.0146 4.9325 Cs
0.0000 0.0000 0.0000 Cs
2.2856 -1.5369 3.8719 Hg
0.0253 -1.0997 7.6660 B
-1.5601 -3.5901 3.0409 B
-3.0273 -3.0934 4.0055 S
-0.2638 -2.3621 2.6644 S
-1.5051 -5.2366 2.2562 S
-1.2710 -2.3276 8.0424 S
1.4925 -1.5963 6.7014 S
-0.0297 0.5469 8.4507 S
```

* calculated total energy: -4.03 eV per atom
* density: 3.37 g cm⁻³

Record 8
The following is a PBE calculation of a relaxed structure of Cs2HgBSe4, from Alexandria.

Structure (POSCAR):
```
Cs2HgBSe4
1.0
-3.9174 -4.7969 2.6788
1.0115 -1.2718 7.7005
-9.9877 5.4735 3.6941
Cs Hg B Se
4 2 2 8
Cartesian
-7.0791 2.6217 2.8411 Cs
-6.8260 -1.9452 3.5318 Cs
-10.3348 1.3549 8.5594 Cs
-4.5176 -4.3485 6.8534 Cs
-7.4262 -1.4968 7.7064 Hg
0.0000 0.0000 0.0000 Hg
-5.4675 0.9016 6.3670 B
-1.9587 -2.3984 1.3394 B
-1.5324 -2.1037 7.7669 Se
-9.8759 3.3273 5.2908 Se
-11.2981 -0.1230 11.9759 Se
-3.0808 -2.2910 3.1132 Se
-4.8823 -0.6648 7.6400 Se
-7.5380 0.6493 6.1096 Se
-9.0217 -1.9690 9.8039 Se
-4.3453 0.7942 4.5932 Se
```

* calculated total energy: -3.36 eV per atom
* density: 4.78 g cm⁻³

Record 9
The following is a PBE calculation of a relaxed structure of Cs2HgB9Se9, from Alexandria.

Structure (POSCAR):
```
Cs2HgB9Se9
1.0
-0.7663 -7.5242 -6.9354
10.3305 3.9302 1.8643
-1.4226 -7.6674 8.3669
Cs Hg B Se
4 2 18 18
Cartesian
7.0271 -5.9017 8.4241 Cs
1.1145 -5.3598 -5.1283 Cs
5.4014 -7.2661 -0.4096 Cs
2.7402 -3.9954 3.7054 Cs
5.3370 -9.3655 4.1710 Hg
2.8046 -1.8960 -0.8752 Hg
7.6856 -3.7951 1.9322 B
0.4560 -7.4664 1.3636 B
8.2239 -2.3000 2.7273 B
-0.0823 -8.9615 0.5685 B
8.9346 -2.8033 1.1645 B
-0.7930 -8.4582 2.1313 B
9.0912 -4.5719 1.1418 B
-0.9496 -6.6895 2.1540 B
8.4851 -5.1839 2.7136 B
-0.3435 -6.0776 0.5822 B
7.9622 -3.7864 3.6796 B
0.1794 -7.4751 -0.3838 B
5.4505 -1.8726 1.7605 B
2.6911 -9.3889 1.5353 B
6.2254 -6.0527 4.4296 B
1.9162 -5.2088 -1.1338 B
8.5185 -3.6750 -1.6284 B
-0.3769 -7.5865 4.9242 B
5.8080 -3.7184 1.2079 Se
2.3336 -7.5430 2.0879 Se
6.8345 -0.8336 2.7262 Se
1.3071 -10.4279 0.5696 Se
8.5371 -1.9861 -0.6336 Se
-0.3955 -9.2754 3.9294 Se
8.8596 -5.3860 -0.6918 Se
-0.7180 -5.8755 3.9876 Se
7.4125 -6.8575 3.0700 Se
0.7291 -4.4040 0.2258 Se
6.4280 -4.1601 4.9367 Se
1.7136 -7.1014 -1.6409 Se
3.7269 -1.0171 1.4811 Se
4.4147 -10.2444 1.8147 Se
8.2665 -3.7681 -3.5535 Se
-0.1249 -7.4934 6.8493 Se
4.8382 -7.0797 5.3238 Se
3.3034 -4.1817 -2.0280 Se
```

* calculated total energy: -4.91 eV per atom
* density: 3.70 g cm⁻³

Record 10
The following is a PBE calculation of a relaxed structure of Cs2HoB2O6, from Alexandria.

Structure (POSCAR):
```
Cs2HoB2O6
1.0
-4.1946 -2.3110 -2.9357
4.9694 -2.6003 0.3208
-4.0796 -0.9187 6.5525
Cs Ho B O
2 1 2 6
Cartesian
-1.4473 -2.8928 -1.0289 Cs
-1.8576 -2.9372 4.9665 Cs
-4.1371 -1.6148 1.8084 Ho
-2.6144 -4.7393 2.0923 B
-0.6905 -1.0907 1.8453 B
-3.4363 -3.6803 2.4330 O
-1.9872 -1.0406 1.3668 O
1.0881 -3.4640 4.2545 O
-1.3177 -4.7895 2.5708 O
-4.3930 -2.3660 -0.3170 O
0.1314 -2.1497 1.5046 O
```

* calculated total energy: -6.93 eV per atom
* density: 4.72 g cm⁻³

Record 11
The following is a PBE calculation of a relaxed structure of Cs2HoBO4, from Alexandria.

Structure (POSCAR):
```
Cs2HoBO4
1.0
5.0985 0.0000 0.0000
2.5492 6.0359 0.0000
2.5492 0.0000 12.0366
Cs Ho B O
4 2 2 8
Cartesian
2.5492 0.0000 7.7695 Cs
5.0985 0.0000 4.2670 Cs
6.3731 3.0179 10.2853 Cs
6.3731 3.0179 1.7513 Cs
6.3731 3.0179 6.0183 Ho
0.0000 0.0000 0.0000 Ho
3.8239 3.0179 6.0183 B
2.5492 0.0000 0.0000 B
4.2295 5.1245 0.8821 O
4.2295 0.9114 11.1545 O
8.5167 5.1245 11.1545 O
3.4183 0.9114 0.8821 O
4.6929 3.9293 5.1362 O
4.6929 2.1065 6.9003 O
8.0534 3.9293 6.9003 O
2.9549 2.1065 5.1362 O
```

* calculated total energy: -6.23 eV per atom
* density: 4.53 g cm⁻³

Record 12
The following is a PBE calculation of a relaxed structure of CsHoBS4, from Alexandria.

Structure (POSCAR):
```
CsHoBS4
1.0
6.5949 0.0000 0.1773
0.0000 5.5339 0.0000
-2.2958 0.0000 9.4408
Cs Ho B S
2 2 2 8
Cartesian
2.7106 4.1504 9.2497 Cs
1.5885 1.3835 0.3684 Cs
3.9208 4.1504 4.4011 Ho
0.3782 1.3835 5.2170 Ho
0.8958 4.1504 3.2865 B
3.4033 1.3835 6.3316 B
4.8171 2.7351 6.7213 S
-0.5180 5.5020 2.8968 S
-0.5180 2.7988 2.8968 S
4.8171 0.0319 6.7213 S
2.3920 4.1504 2.1532 S
1.9071 1.3835 7.4650 S
1.2600 4.1504 5.1673 S
3.0391 1.3835 4.4508 S
```

* calculated total energy: -5.25 eV per atom
* density: 4.18 g cm⁻³